(1)
DFT (PBE-GGA) results for crystalline Mn2BePt at its relaxed geometry.

Cell: 4.4782 4.4782 2.7382 Å, 90.00 90.00 110.58°
Fractional coordinates of all 4 atoms:
Mn (0.0000, 0.5000, 0.0000)
Mn (0.5000, 0.0000, 0.0000)
Be (0.0000, 0.0000, 0.5000)
Pt (0.5000, 0.5000, 0.5000)

Output
As for the total energy: -28.455 eV/cell. As for the formation energy: -0.0871 eV/atom. For the density of states at the Fermi level, the calculation gives 0.898 states/eV per atom.

***

(2)
DFT (PBE-GGA) results for crystalline AgMo2As at its relaxed geometry.

Cell: 4.5275 4.5275 4.5275 Å, 60.00 60.00 60.00°
Fractional coordinates of all 4 atoms:
Ag (0.0000, 0.0000, 0.0000)
Mo (0.5000, 0.5000, 0.5000)
Mo (0.7500, 0.7500, 0.7500)
As (0.2500, 0.2500, 0.2500)

Output
As for the total energy: -26.897 eV/cell. As for the formation energy: 0.5665 eV/atom. For the density of states at the Fermi level, the calculation gives 0.670 states/eV per atom.

***

(3)
DFT (PBE-GGA) results for crystalline Tl6Ga at its relaxed geometry.

Cell: 7.3828 7.3828 7.3828 Å, 109.47 109.47 109.47°
Fractional coordinates of all 7 atoms:
Tl (0.2500, 0.5000, 0.7500)
Tl (0.2500, 0.7500, 0.5000)
Tl (0.5000, 0.2500, 0.7500)
Tl (0.5000, 0.7500, 0.2500)
Tl (0.7500, 0.2500, 0.5000)
Tl (0.7500, 0.5000, 0.2500)
Ga (0.0000, 0.0000, 0.0000)

Output
As for the total energy: -13.905 eV/cell. As for the formation energy: 0.4743 eV/atom. For the density of states at the Fermi level, the calculation gives 0.547 states/eV per atom.